Model w:
First-principles (PBE) data for a geometry-optimized AgGe structure, as listed in OQMD.

Structure (POSCAR):
```
AgGe
1.0
0.000 2.944 2.944
2.944 0.000 2.944
2.944 2.944 0.000
Ge Ag
1 1
Direct
0.250 0.250 0.250
0.000 0.000 0.000
```

***

Model x:
First-principles (PBE) data for a geometry-optimized AgGe structure, as listed in OQMD.

Structure (POSCAR):
```
AgGe
1.0
3.706 0.859 0.801
0.956 1.417 3.491
2.006 -2.194 2.505
Ag Ge
1 1
Direct
0.000 0.000 0.000
0.500 0.500 0.500
```

***

Which structure is the least stable? The one labeled model w.

***

Model w:
First-principles (PBE) data for a geometry-optimized AgGe structure, as listed in OQMD.

Structure (POSCAR):
```
AgGe
1.0
-2.246 1.042 -1.660
-0.497 -0.857 2.812
0.945 4.475 1.531
Ge Ag
1 1
Direct
0.333 0.667 0.250
0.667 0.333 0.750
```

***

Model x:
First-principles (PBE) data for a geometry-optimized AgGe structure, as listed in OQMD.

Structure (POSCAR):
```
AgGe
1.0
-2.306 -1.124 -2.148
1.983 -2.580 -0.779
-1.395 -1.810 2.444
Ge Ag
1 1
Direct
0.500 0.500 0.500
0.000 0.000 0.000
```

***

Which structure is the least stable? The one labeled model x.

***

Model w:
First-principles (PBE) data for a geometry-optimized AgGe structure, as listed in OQMD.

Structure (POSCAR):
```
AgGe
1.0
4.254 0.000 0.000
-2.127 3.684 0.000
0.000 0.000 5.255
Ge Ag
2 2
Direct
0.000 0.000 0.000
0.000 0.000 0.500
0.333 0.667 0.250
0.667 0.333 0.750
```

***

Model x:
First-principles (PBE) data for a geometry-optimized AgGe structure, as listed in OQMD.

Structure (POSCAR):
```
AgGe
1.0
-3.649 0.471 1.772
2.814 -2.402 1.728
1.990 4.431 2.919
Ge Ag
2 2
Direct
0.333 0.667 0.250
0.667 0.333 0.750
0.000 0.000 0.000
0.000 0.000 0.500
```

***

Which structure is the least stable? The one labeled model w.

***

Model w:
First-principles (PBE) data for a geometry-optimized Ag15Ge structure, as listed in OQMD.

Structure (POSCAR):
```
Ag15Ge
1.0
4.105 0.000 0.000
0.000 4.129 0.000
0.000 0.000 47.076
Ag Ge
30 2
Direct
0.500 0.500 0.657
0.500 0.000 0.164
0.500 0.500 0.388
0.000 0.000 0.657
0.000 0.500 0.433
0.000 0.000 0.388
0.500 0.500 0.836
0.000 0.500 0.612
0.000 0.000 0.298
0.500 0.000 0.522
0.500 0.000 0.792
0.000 0.000 0.208
0.000 0.500 0.522
0.000 0.000 0.478
0.000 0.500 0.253
0.500 0.000 0.433
0.000 0.500 0.702
0.500 0.500 0.567
0.000 0.500 0.792
0.500 0.000 0.343
0.000 0.500 0.343
0.500 0.000 0.254
0.500 0.500 0.478
0.500 0.500 0.746
0.500 0.000 0.612
0.500 0.500 0.298
0.500 0.500 0.208
0.000 0.000 0.567
0.000 0.000 0.747
0.500 0.000 0.701
0.000 0.500 0.165
0.000 0.000 0.835
```

***

Model x:
First-principles (PBE) data for a geometry-optimized Ag15Ge structure, as listed in OQMD.

Structure (POSCAR):
```
Ag15Ge
1.0
5.068 0.000 0.000
0.000 37.479 0.000
-1.727 0.000 4.769
Ag Ge
30 2
Direct
0.000 0.717 0.750
0.000 0.322 0.750
0.500 0.283 0.750
0.500 0.322 0.250
0.000 0.441 0.250
0.500 0.362 0.750
0.500 0.598 0.750
0.500 0.678 0.750
0.000 0.678 0.250
0.000 0.283 0.250
0.500 0.717 0.250
0.000 0.559 0.750
0.000 0.759 0.250
0.500 0.205 0.750
0.500 0.402 0.250
0.000 0.402 0.750
0.000 0.480 0.750
0.000 0.598 0.250
0.500 0.759 0.750
0.500 0.441 0.750
0.000 0.362 0.250
0.500 0.241 0.250
0.500 0.795 0.250
0.500 0.520 0.750
0.500 0.559 0.250
0.500 0.480 0.250
0.000 0.638 0.750
0.500 0.638 0.250
0.000 0.241 0.750
0.000 0.520 0.250
0.000 0.209 0.250
0.000 0.791 0.750
```

***

Model y:
First-principles (PBE) data for a geometry-optimized Ag15Ge structure, as listed in OQMD.

Structure (POSCAR):
```
Ag15Ge
1.0
-2.399 4.583 -6.393
35.589 -17.081 -25.598
-2.419 -3.085 -1.304
Ag Ge
60 4
Direct
0.375 0.978 0.500
0.375 0.843 0.000
0.625 0.202 0.500
0.125 0.978 0.000
0.625 0.157 0.000
0.375 0.202 0.000
0.628 0.754 0.500
0.124 0.201 0.500
0.125 0.067 0.000
0.872 0.708 0.500
0.625 0.067 0.000
0.124 0.247 0.000
0.131 0.665 0.500
0.375 0.157 0.500
0.125 0.022 0.500
0.128 0.708 0.000
0.874 0.157 0.500
0.875 0.067 0.500
0.378 0.709 0.500
0.875 0.022 0.000
0.625 0.112 0.500
0.872 0.292 0.000
0.876 0.201 0.000
0.126 0.157 0.000
0.124 0.799 0.000
0.375 0.888 0.500
0.874 0.843 0.000
0.375 0.933 0.000
0.125 0.888 0.000
0.875 0.933 0.000
0.628 0.246 0.000
0.622 0.709 0.000
0.876 0.753 0.000
0.128 0.292 0.500
0.375 0.067 0.500
0.125 0.112 0.500
0.869 0.665 0.000
0.126 0.843 0.500
0.372 0.754 0.000
0.625 0.022 0.500
0.372 0.246 0.500
0.124 0.753 0.500
0.375 0.022 0.000
0.875 0.112 0.000
0.125 0.933 0.500
0.375 0.798 0.500
0.876 0.799 0.500
0.131 0.335 0.000
0.875 0.888 0.500
0.625 0.933 0.500
0.625 0.888 0.000
0.378 0.291 0.000
0.625 0.843 0.500
0.869 0.335 0.500
0.876 0.247 0.500
0.875 0.978 0.500
0.625 0.798 0.000
0.375 0.112 0.000
0.625 0.978 0.000
0.622 0.291 0.500
0.397 0.337 0.500
0.397 0.663 0.000
0.603 0.663 0.500
0.603 0.337 0.000
```

***

Which structure is the least stable? The one labeled model x.

***

Model w:
First-principles (PBE) data for a geometry-optimized Ag15Ge structure, as listed in OQMD.

Structure (POSCAR):
```
Ag15Ge
1.0
5.832 0.000 0.000
0.000 2.931 0.000
-0.028 0.000 46.839
Ag Ge
30 2
Direct
0.625 0.750 0.254
0.375 0.250 0.746
0.625 0.750 0.433
0.625 0.750 0.522
0.377 0.250 0.208
0.375 0.250 0.478
0.125 0.750 0.254
0.875 0.250 0.299
0.127 0.750 0.792
0.125 0.750 0.522
0.125 0.750 0.343
0.375 0.250 0.299
0.875 0.250 0.388
0.875 0.250 0.567
0.125 0.750 0.164
0.875 0.250 0.746
0.623 0.750 0.792
0.375 0.250 0.657
0.125 0.750 0.612
0.875 0.250 0.836
0.375 0.250 0.567
0.375 0.250 0.388
0.625 0.750 0.612
0.873 0.250 0.208
0.125 0.750 0.433
0.875 0.250 0.657
0.875 0.250 0.478
0.625 0.750 0.701
0.125 0.750 0.701
0.625 0.750 0.343
0.625 0.750 0.164
0.375 0.250 0.836
```

***

Model x:
First-principles (PBE) data for a geometry-optimized Ag15Ge structure, as listed in OQMD.

Structure (POSCAR):
```
Ag15Ge
1.0
5.837 0.000 0.000
0.000 4.137 0.000
-0.351 0.000 37.497
Ag Ge
30 2
Direct
0.624 0.250 0.823
0.874 0.750 0.020
0.374 0.750 0.098
0.126 0.250 0.822
0.629 0.250 0.741
0.875 0.750 0.783
0.625 0.250 0.217
0.125 0.250 0.059
0.371 0.750 0.259
0.874 0.750 0.178
0.125 0.250 0.217
0.626 0.250 0.295
0.876 0.750 0.098
0.875 0.750 0.862
0.126 0.250 0.980
0.374 0.750 0.705
0.875 0.750 0.941
0.625 0.250 0.059
0.124 0.250 0.902
0.376 0.750 0.177
0.878 0.750 0.259
0.375 0.750 0.941
0.125 0.250 0.138
0.122 0.250 0.741
0.625 0.250 0.980
0.375 0.750 0.862
0.375 0.750 0.020
0.625 0.250 0.138
0.375 0.750 0.783
0.626 0.250 0.902
0.877 0.750 0.708
0.123 0.250 0.292
```

***

Which structure is the least stable? The one labeled model x.

***

Model w:
First-principles (PBE) data for a geometry-optimized AgGe2 structure, as listed in OQMD.

Structure (POSCAR):
```
AgGe2
1.0
6.969 0.000 0.000
0.000 4.003 0.000
0.000 0.000 8.480
Ag Ge
4 8
Direct
0.730 0.250 0.853
0.770 0.750 0.353
0.270 0.750 0.147
0.230 0.250 0.647
0.375 0.750 0.451
0.945 0.750 0.651
0.625 0.250 0.549
0.875 0.750 0.049
0.555 0.250 0.151
0.125 0.250 0.951
0.055 0.250 0.349
0.445 0.750 0.849
```

***

Model x:
First-principles (PBE) data for a geometry-optimized AgGe2 structure, as listed in OQMD.

Structure (POSCAR):
```
AgGe2
1.0
3.965 2.289 6.475
-3.965 2.289 6.475
0.000 -4.578 6.475
Ge Ag
4 2
Direct
0.375 0.375 0.375
0.375 0.375 0.875
0.875 0.375 0.375
0.375 0.875 0.375
0.500 0.500 0.500
0.250 0.250 0.250
```

***

Model y:
First-principles (PBE) data for a geometry-optimized AgGe2 structure, as listed in OQMD.

Structure (POSCAR):
```
AgGe2
1.0
0.000 3.918 3.918
3.918 0.000 3.918
3.918 3.918 0.000
Ge Ag
4 2
Direct
0.625 0.125 0.625
0.125 0.625 0.625
0.625 0.625 0.625
0.625 0.625 0.125
0.250 0.250 0.250
0.000 0.000 0.000
```

***

Which structure is the least stable? The one labeled model x.

***

Model w:
First-principles (PBE) data for a geometry-optimized Ag9Ge structure, as listed in OQMD.

Structure (POSCAR):
```
Ag9Ge
1.0
-1.991 2.064 0.476
-1.958 -1.544 -1.495
-15.617 -25.981 47.264
Ag Ge
18 2
Direct
0.000 0.500 0.294
0.000 0.500 0.744
0.500 0.000 0.331
0.000 0.500 0.444
0.500 0.000 0.179
0.000 0.500 0.669
0.000 0.500 0.821
0.500 0.000 0.481
0.500 0.000 0.631
0.000 0.500 0.369
0.500 0.000 0.256
0.500 0.000 0.407
0.500 0.000 0.783
0.000 0.500 0.519
0.500 0.000 0.556
0.000 0.500 0.217
0.000 0.500 0.593
0.500 0.000 0.706
0.500 0.000 0.858
0.000 0.500 0.142
```

***

Model x:
First-principles (PBE) data for a geometry-optimized Ag9Ge structure, as listed in OQMD.

Structure (POSCAR):
```
Ag9Ge
1.0
2.901 0.000 0.000
0.000 4.196 0.000
0.000 0.000 43.555
Ag Ge
18 2
Direct
0.500 0.500 0.483
0.000 0.000 0.449
0.000 0.000 0.246
0.000 0.000 0.517
0.000 0.000 0.652
0.500 0.500 0.415
0.000 0.000 0.790
0.000 0.000 0.381
0.500 0.500 0.754
0.000 0.000 0.313
0.500 0.500 0.551
0.500 0.500 0.210
0.000 0.000 0.720
0.500 0.500 0.348
0.000 0.000 0.585
0.500 0.500 0.280
0.500 0.500 0.687
0.500 0.500 0.619
0.000 0.000 0.182
0.500 0.500 0.818
```

***

Which structure is the least stable? The one labeled model x.